A relaxed CeY4Ag5 crystal. Source: Alexandria via LeMat-Bulk, functional GGA-PBE.

POSCAR file:
```
CeY4Ag5
1.0
-2.731 -1.064 -2.121
-0.003 -3.233 1.625
-12.299 6.368 12.640
Ce Y Ag
1 4 5
Cartesian
0.000 0.000 0.000
-2.512 1.300 2.581
-4.936 2.556 5.073
-7.363 3.812 7.567
-9.787 5.067 10.058
-2.714 -1.451 1.137
-5.093 -0.219 3.581
-7.517 1.035 6.072
-9.941 2.290 8.563
-12.319 3.522 11.007
```

- Space-group type: P4/mmm, No. 123
- Calculated formation energy: -276.0 meV/atom